No. 1
This record from Alexandria describes a geometry-optimized CeMgAl2Ag5 structure. The functional is PBE.

## Properties
- DFT total energy: -3.245 eV/atom
- Total magnetization: 1.1 μB per formula unit

Unit cell a=4.9032 b=4.9032 c=7.9216 alpha=90.00 beta=90.00 gamma=90.00
Last column: nearest neighbours and their distance in Å.
Space group P4/mmm (No. 123)
Unique sites:
Ce 0.0000 0.0000 0.0000 x1  12 Ag 3.12-3.47
Mg 0.0000 0.0000 0.5000 x1  8 Ag 3.19
Al 0.5000 0.5000 0.3397 x2  1 Al 2.54, 5 Ag 2.57-2.69
Ag 0.0000 0.5000 0.2426 x4  2 Al 2.57
Ag 0.5000 0.5000 0.0000 x1  2 Al 2.69



No. 2
This record from Alexandria describes a geometry-optimized CeMgAlAg structure. The functional is PBE.

## Properties
- DFT total energy: -3.748 eV/atom
- Total magnetization: 0.7 μB per formula unit

Unit cell a=7.0822 b=7.0822 c=7.0822 alpha=90.00 beta=90.00 gamma=90.00
Last column: nearest neighbours and their distance in Å.
Space group F-43m (No. 216)
Unique sites:
Ce 0.0000 0.0000 0.0000 x4  4 Al 3.07, 4 Ag 3.07
Mg 0.0000 0.0000 0.5000 x4  4 Al 3.07, 4 Ag 3.07
Al 0.2500 0.2500 0.7500 x4  4 Ce 3.07, 4 Mg 3.07
Ag 0.2500 0.2500 0.2500 x4  4 Ce 3.07, 4 Mg 3.07



DOS at the Fermi energy per entry: 10.217 25.790 states/eV/cell